#i
This record from Alexandria describes crystalline Al4CuSi at its relaxed geometry. The functional is GGA-PBE.

a = 3.535 Å, b = 3.535 Å, c = 9.852 Å
α = 90.00°, β = 90.00°, γ = 120.00°
Atoms (fractional coordinates):
Al1 0.000 0.000 0.149
Al2 0.000 0.000 0.851
Al3 0.333 0.667 0.347
Al4 0.333 0.667 0.653
Cu1 0.667 0.333 0.000
Si1 0.667 0.333 0.500

magnetization: 0.00 μB/f.u.
volume: 17.77 Å³/atom
space-group type: P-6m2, No. 187
Fermi-level density of states: 2.53 states/eV per cell

---

#ii
This record from Alexandria describes crystalline Al4CuSi at its relaxed geometry. The functional is GGA-PBE.

a = 8.087 Å, b = 3.673 Å, c = 6.531 Å
α = 90.00°, β = 90.00°, γ = 90.00°
Atoms (fractional coordinates):
Al1 0.000 0.000 0.000
Al2 0.057 0.500 0.317
Al3 0.250 0.500 0.881
Al4 0.443 0.500 0.317
Al5 0.500 0.000 0.000
Al6 0.557 0.500 0.683
Al7 0.750 0.500 0.119
Al8 0.943 0.500 0.683
Cu1 0.250 0.000 0.194
Cu2 0.750 0.000 0.806
Si1 0.250 0.000 0.561
Si2 0.750 0.000 0.439

magnetization: 0.00 μB/f.u.
volume: 16.17 Å³/atom
space-group type: Pmma, No. 51
Fermi-level density of states: 3.30 states/eV per cell

---

#iii
This record from Alexandria describes crystalline Al4CuSi at its relaxed geometry. The functional is GGA-PBE.

a = 5.216 Å, b = 5.216 Å, c = 5.216 Å
α = 60.00°, β = 60.00°, γ = 60.00°
Atoms (fractional coordinates):
Al1 0.125 0.125 0.125
Al2 0.125 0.125 0.626
Al3 0.125 0.626 0.125
Al4 0.626 0.125 0.125
Cu1 0.750 0.750 0.750
Si1 0.500 0.500 0.500

magnetization: 0.00 μB/f.u.
volume: 16.73 Å³/atom
space-group type: F-43m, No. 216
Fermi-level density of states: 2.21 states/eV per cell

---

Which of them is least stable? Easy: #iii.

---

#i
This record from Alexandria describes crystalline AlCuSi4 at its relaxed geometry. The functional is GGA-PBE.

a = 5.043 Å, b = 5.043 Å, c = 5.043 Å
α = 60.00°, β = 60.00°, γ = 60.00°
Atoms (fractional coordinates):
Al1 0.000 0.000 0.000
Cu1 0.750 0.750 0.750
Si1 0.375 0.375 0.375
Si2 0.375 0.375 0.875
Si3 0.375 0.875 0.375
Si4 0.875 0.375 0.375

magnetization: 0.00 μB/f.u.
volume: 15.12 Å³/atom
space-group type: F-43m, No. 216
Fermi-level density of states: 3.54 states/eV per cell

---

#ii
This record from Alexandria describes crystalline AlCuSi4 at its relaxed geometry. The functional is GGA-PBE.

a = 4.314 Å, b = 4.314 Å, c = 5.549 Å
α = 90.00°, β = 90.00°, γ = 120.00°
Atoms (fractional coordinates):
Al1 0.000 0.000 0.000
Cu1 0.000 0.000 0.500
Si1 0.333 0.667 0.220
Si2 0.333 0.667 0.780
Si3 0.667 0.333 0.282
Si4 0.667 0.333 0.718

magnetization: 0.00 μB/f.u.
volume: 14.91 Å³/atom
space-group type: P-6m2, No. 187
Fermi-level density of states: 1.84 states/eV per cell

---

Which of them is least stable? Easy: #i.

---

#i
This record from Alexandria describes crystalline AlCuSi4 at its relaxed geometry. The functional is GGA-PBE.

a = 6.925 Å, b = 3.489 Å, c = 7.512 Å
α = 90.00°, β = 90.00°, γ = 90.00°
Atoms (fractional coordinates):
Al1 0.250 0.000 0.081
Al2 0.750 0.000 0.919
Cu1 0.250 0.000 0.740
Cu2 0.750 0.000 0.260
Si1 0.000 0.000 0.500
Si2 0.030 0.500 0.838
Si3 0.250 0.500 0.389
Si4 0.470 0.500 0.838
Si5 0.500 0.000 0.500
Si6 0.530 0.500 0.162
Si7 0.750 0.500 0.611
Si8 0.970 0.500 0.162

magnetization: 0.00 μB/f.u.
volume: 15.13 Å³/atom
space-group type: Pmma, No. 51
Fermi-level density of states: 5.70 states/eV per cell

---

#ii
This record from Alexandria describes crystalline AlCuSi4 at its relaxed geometry. The functional is GGA-PBE.

a = 7.151 Å, b = 7.151 Å, c = 7.410 Å
α = 90.00°, β = 90.00°, γ = 150.60°
Atoms (fractional coordinates):
Al1 0.158 0.842 0.750
Al2 0.842 0.158 0.250
Cu1 0.202 0.798 0.250
Cu2 0.798 0.202 0.750
Si1 0.025 0.975 0.250
Si2 0.318 0.682 0.519
Si3 0.318 0.682 0.981
Si4 0.500 0.500 0.000
Si5 0.500 0.500 0.500
Si6 0.682 0.318 0.019
Si7 0.682 0.318 0.481
Si8 0.975 0.025 0.750

magnetization: 0.00 μB/f.u.
volume: 15.50 Å³/atom
space-group type: Cmcm, No. 63
Fermi-level density of states: 3.82 states/eV per cell

---

#iii
This record from Alexandria describes crystalline AlCuSi4 at its relaxed geometry. The functional is GGA-PBE.

a = 7.363 Å, b = 3.435 Å, c = 7.396 Å
α = 90.00°, β = 90.00°, γ = 90.00°
Atoms (fractional coordinates):
Al1 0.250 0.000 0.223
Al2 0.750 0.000 0.777
Cu1 0.250 0.000 0.845
Cu2 0.750 0.000 0.155
Si1 0.000 0.000 0.500
Si2 0.012 0.500 0.838
Si3 0.250 0.500 0.583
Si4 0.488 0.500 0.838
Si5 0.500 0.000 0.500
Si6 0.512 0.500 0.162
Si7 0.750 0.500 0.417
Si8 0.988 0.500 0.162

magnetization: 0.00 μB/f.u.
volume: 15.59 Å³/atom
space-group type: Pmma, No. 51
Fermi-level density of states: 3.62 states/eV per cell

---

Which of them is least stable? Easy: #iii.

---

#i
This record from Alexandria describes crystalline Al3Cu2Si3 at its relaxed geometry. The functional is GGA-PBE.

a = 7.573 Å, b = 7.573 Å, c = 4.912 Å
α = 90.00°, β = 90.00°, γ = 120.00°
Atoms (fractional coordinates):
Al1 0.000 0.413 0.250
Al2 0.000 0.587 0.750
Al3 0.413 0.000 0.250
Al4 0.413 0.413 0.750
Al5 0.587 0.000 0.750
Al6 0.587 0.587 0.250
Cu1 0.333 0.667 0.000
Cu2 0.333 0.667 0.500
Cu3 0.667 0.333 0.000
Cu4 0.667 0.333 0.500
Si1 0.000 0.191 0.750
Si2 0.000 0.809 0.250
Si3 0.191 0.000 0.750
Si4 0.191 0.191 0.250
Si5 0.809 0.000 0.250
Si6 0.809 0.809 0.750

magnetization: 0.00 μB/f.u.
volume: 15.25 Å³/atom
space-group type: P6_3/mcm, No. 193
Fermi-level density of states: 3.87 states/eV per cell

---

#ii
This record from Alexandria describes crystalline Al3Cu2Si3 at its relaxed geometry. The functional is GGA-PBE.

a = 7.029 Å, b = 7.029 Å, c = 2.736 Å
α = 90.00°, β = 90.00°, γ = 120.00°
Atoms (fractional coordinates):
Al1 0.000 0.394 0.000
Al2 0.394 0.000 0.000
Al3 0.606 0.606 0.000
Cu1 0.333 0.667 0.500
Cu2 0.667 0.333 0.500
Si1 0.000 0.787 0.500
Si2 0.213 0.213 0.500
Si3 0.787 0.000 0.500

magnetization: 0.00 μB/f.u.
volume: 14.63 Å³/atom
space-group type: P-62m, No. 189
Fermi-level density of states: 2.64 states/eV per cell

---

Which of them is least stable? Easy: #i.

---

#i
This record from Alexandria describes crystalline Al3Cu2Si3 at its relaxed geometry. The functional is GGA-PBE.

a = 7.557 Å, b = 7.557 Å, c = 4.780 Å
α = 90.00°, β = 90.00°, γ = 120.00°
Atoms (fractional coordinates):
Al1 0.000 0.220 0.250
Al2 0.000 0.780 0.750
Al3 0.220 0.000 0.250
Al4 0.220 0.220 0.750
Al5 0.780 0.000 0.750
Al6 0.780 0.780 0.250
Cu1 0.333 0.667 0.000
Cu2 0.333 0.667 0.500
Cu3 0.667 0.333 0.000
Cu4 0.667 0.333 0.500
Si1 0.000 0.418 0.750
Si2 0.000 0.582 0.250
Si3 0.418 0.000 0.750
Si4 0.418 0.418 0.250
Si5 0.582 0.000 0.250
Si6 0.582 0.582 0.750

magnetization: 0.00 μB/f.u.
volume: 14.78 Å³/atom
space-group type: P6_3/mcm, No. 193
Fermi-level density of states: 5.82 states/eV per cell

---

#ii
This record from Alexandria describes crystalline Al3Cu2Si3 at its relaxed geometry. The functional is GGA-PBE.

a = 5.128 Å, b = 6.573 Å, c = 8.117 Å
α = 76.91°, β = 83.17°, γ = 68.48°
Atoms (fractional coordinates):
Al1 0.023 0.192 0.023
Al2 0.193 0.146 0.459
Al3 0.366 0.440 0.177
Al4 0.634 0.560 0.823
Al5 0.807 0.854 0.541
Al6 0.977 0.808 0.977
Cu1 0.117 0.880 0.290
Cu2 0.461 0.809 0.052
Cu3 0.539 0.191 0.948
Cu4 0.883 0.120 0.710
Si1 0.167 0.504 0.801
Si2 0.257 0.520 0.498
Si3 0.418 0.003 0.756
Si4 0.582 0.997 0.244
Si5 0.743 0.480 0.502
Si6 0.833 0.496 0.199

magnetization: 0.00 μB/f.u.
volume: 15.48 Å³/atom
space-group type: P-1, No. 2
Fermi-level density of states: 4.57 states/eV per cell

---

#iii
This record from Alexandria describes crystalline Al3Cu2Si3 at its relaxed geometry. The functional is GGA-PBE.

a = 4.087 Å, b = 6.892 Å, c = 9.009 Å
α = 92.37°, β = 95.75°, γ = 93.13°
Atoms (fractional coordinates):
Al1 0.011 0.441 0.244
Al2 0.074 0.838 0.074
Al3 0.212 0.099 0.379
Al4 0.788 0.901 0.621
Al5 0.926 0.162 0.926
Al6 0.989 0.559 0.756
Cu1 0.241 0.407 0.529
Cu2 0.463 0.332 0.810
Cu3 0.537 0.668 0.190
Cu4 0.759 0.593 0.471
Si1 0.270 0.746 0.423
Si2 0.327 0.948 0.799
Si3 0.453 0.333 0.080
Si4 0.547 0.667 0.920
Si5 0.673 0.052 0.201
Si6 0.730 0.254 0.577

magnetization: 0.00 μB/f.u.
volume: 15.74 Å³/atom
space-group type: P-1, No. 2
Fermi-level density of states: 4.47 states/eV per cell

---

Which of them is least stable? Easy: #i.

---

#i
This record from Alexandria describes crystalline Al6CuSi at its relaxed geometry. The functional is GGA-PBE.

a = 3.973 Å, b = 3.973 Å, c = 9.052 Å
α = 90.00°, β = 90.00°, γ = 90.00°
Atoms (fractional coordinates):
Al1 0.000 0.000 0.137
Al2 0.000 0.000 0.863
Al3 0.000 0.500 0.336
Al4 0.000 0.500 0.664
Al5 0.500 0.000 0.336
Al6 0.500 0.000 0.664
Cu1 0.500 0.500 0.500
Si1 0.500 0.500 0.000

magnetization: 0.00 μB/f.u.
volume: 17.86 Å³/atom
space-group type: P4/mmm, No. 123
Fermi-level density of states: 3.85 states/eV per cell

---

#ii
This record from Alexandria describes crystalline Al6CuSi at its relaxed geometry. The functional is GGA-PBE.

a = 3.997 Å, b = 3.997 Å, c = 9.280 Å
α = 90.00°, β = 90.00°, γ = 90.00°
Atoms (fractional coordinates):
Al1 0.000 0.000 0.133
Al2 0.000 0.000 0.867
Al3 0.000 0.500 0.318
Al4 0.000 0.500 0.682
Al5 0.500 0.000 0.318
Al6 0.500 0.000 0.682
Cu1 0.500 0.500 0.000
Si1 0.500 0.500 0.500

magnetization: 0.00 μB/f.u.
volume: 18.53 Å³/atom
space-group type: P4/mmm, No. 123
Fermi-level density of states: 4.05 states/eV per cell

---

Which of them is least stable? Easy: #ii.

---

#i
This record from Alexandria describes crystalline AlCu3Si2 at its relaxed geometry. The functional is GGA-PBE.

a = 5.407 Å, b = 5.407 Å, c = 6.260 Å
α = 90.49°, β = 90.49°, γ = 58.76°
Atoms (fractional coordinates):
Al1 0.169 0.169 0.145
Al2 0.831 0.831 0.855
Cu1 0.173 0.667 0.175
Cu2 0.333 0.827 0.825
Cu3 0.334 0.334 0.824
Cu4 0.666 0.666 0.176
Cu5 0.667 0.173 0.175
Cu6 0.827 0.333 0.825
Si1 0.000 0.000 0.500
Si2 0.000 0.500 0.500
Si3 0.500 0.000 0.500
Si4 0.500 0.500 0.500

magnetization: 0.00 μB/f.u.
volume: 13.04 Å³/atom
space-group type: C2/m, No. 12
Fermi-level density of states: 4.40 states/eV per cell

---

#ii
This record from Alexandria describes crystalline AlCu3Si2 at its relaxed geometry. The functional is GGA-PBE.

a = 4.934 Å, b = 4.934 Å, c = 7.968 Å
α = 90.00°, β = 90.00°, γ = 120.00°
Atoms (fractional coordinates):
Al1 0.000 0.000 0.000
Al2 0.000 0.000 0.500
Cu1 0.170 0.339 0.250
Cu2 0.170 0.830 0.250
Cu3 0.339 0.170 0.750
Cu4 0.661 0.830 0.250
Cu5 0.830 0.170 0.750
Cu6 0.830 0.661 0.750
Si1 0.333 0.667 0.534
Si2 0.333 0.667 0.966
Si3 0.667 0.333 0.034
Si4 0.667 0.333 0.466

magnetization: 0.00 μB/f.u.
volume: 14.00 Å³/atom
space-group type: P6_3/mmc, No. 194
Fermi-level density of states: 4.50 states/eV per cell

---

Which of them is least stable? Easy: #ii.

---

#i
This record from Alexandria describes crystalline AlCu3Si2 at its relaxed geometry. The functional is GGA-PBE.

a = 4.997 Å, b = 4.997 Å, c = 3.962 Å
α = 90.00°, β = 90.00°, γ = 120.00°
Atoms (fractional coordinates):
Al1 0.000 0.000 0.000
Cu1 0.000 0.500 0.500
Cu2 0.500 0.000 0.500
Cu3 0.500 0.500 0.500
Si1 0.333 0.667 0.000
Si2 0.667 0.333 0.000

magnetization: 0.00 μB/f.u.
volume: 14.28 Å³/atom
space-group type: P6/mmm, No. 191
Fermi-level density of states: 0.81 states/eV per cell

---

#ii
This record from Alexandria describes crystalline AlCu3Si2 at its relaxed geometry. The functional is GGA-PBE.

a = 6.008 Å, b = 6.008 Å, c = 3.776 Å
α = 90.00°, β = 90.00°, γ = 144.60°
Atoms (fractional coordinates):
Al1 0.000 0.000 0.000
Cu1 0.333 0.667 0.000
Cu2 0.500 0.500 0.500
Cu3 0.667 0.333 0.000
Si1 0.165 0.835 0.500
Si2 0.835 0.165 0.500

magnetization: 0.00 μB/f.u.
volume: 13.16 Å³/atom
space-group type: Cmmm, No. 65
Fermi-level density of states: 2.35 states/eV per cell

---

Which of them is least stable? Easy: #i.

---

#i
This record from Alexandria describes crystalline AlCu2Si5 at its relaxed geometry. The functional is GGA-PBE.

a = 7.824 Å, b = 7.824 Å, c = 7.824 Å
α = 151.03°, β = 151.03°, γ = 41.43°
Atoms (fractional coordinates):
Al1 0.000 0.000 0.000
Cu1 0.253 0.253 0.000
Cu2 0.747 0.747 0.000
Si1 0.132 0.632 0.500
Si2 0.368 0.868 0.500
Si3 0.500 0.500 0.000
Si4 0.632 0.132 0.500
Si5 0.868 0.368 0.500

magnetization: 0.00 μB/f.u.
volume: 14.01 Å³/atom
space-group type: I4/mmm, No. 139
Fermi-level density of states: 3.37 states/eV per cell

---

#ii
This record from Alexandria describes crystalline AlCu2Si5 at its relaxed geometry. The functional is GGA-PBE.

a = 6.927 Å, b = 9.566 Å, c = 3.640 Å
α = 90.00°, β = 90.00°, γ = 90.00°
Atoms (fractional coordinates):
Al1 0.000 0.000 0.000
Al2 0.500 0.500 0.000
Cu1 0.051 0.181 0.500
Cu2 0.449 0.681 0.500
Cu3 0.551 0.319 0.500
Cu4 0.949 0.819 0.500
Si1 0.000 0.500 0.000
Si2 0.210 0.710 0.000
Si3 0.222 0.401 0.500
Si4 0.278 0.901 0.500
Si5 0.290 0.210 0.000
Si6 0.500 0.000 0.000
Si7 0.710 0.790 0.000
Si8 0.722 0.099 0.500
Si9 0.778 0.599 0.500
Si10 0.790 0.290 0.000

magnetization: 0.00 μB/f.u.
volume: 15.07 Å³/atom
space-group type: Pbam, No. 55
Fermi-level density of states: 4.35 states/eV per cell

---

Which of them is least stable? Easy: #i.